(1)
Entry from the Alexandria database: crystalline Ba2LiCdF at its relaxed geometry (PBE).

Cell: 5.9239 5.9239 4.2767 Å, 90.00 90.00 90.00°
Last column: nearest neighbours and their distance in Å.
Atoms (fractional coordinates):
F (0.0000, 0.0000, 0.0000)  2 Li 2.14
Li (0.0000, 0.0000, 0.5000)  2 F 2.14
Ba (0.0000, 0.5000, 0.0000)  2 F 2.96
Ba (0.5000, 0.0000, 0.0000)  2 F 2.96
Cd (0.5000, 0.5000, 0.5000)  8 Ba 3.65

Properties
Symmetry: P4/mmm, No. 123
Formation energy without anion corrections (eV/atom): -1.20
Total DFT energy (no corrections) (Ha/atom): -0.1067

(2)
Entry from the Alexandria database: crystalline AcCu2Sn at its relaxed geometry (PBE).

Cell: 4.3390 7.0037 6.6546 Å, 90.00 108.43 90.00°
Last column: nearest neighbours and their distance in Å.
Atoms (fractional coordinates):
Ac (0.0652, 0.2500, 0.1583)  6 Cu 3.07-3.42
Ac (0.9348, 0.7500, 0.8417)  6 Cu 3.07-3.42
Cu (0.7587, 0.4211, 0.5203)  3 Cu 2.40-2.46
Cu (0.2413, 0.5789, 0.4797)  3 Cu 2.40-2.46
Cu (0.7587, 0.0789, 0.5203)  3 Cu 2.40-2.46
Cu (0.2413, 0.9211, 0.4797)  3 Cu 2.40-2.46
Sn (0.6397, 0.7500, 0.2712)  6 Cu 2.79-2.81
Sn (0.3603, 0.2500, 0.7288)  6 Cu 2.79-2.81

Properties
Symmetry: P2_1/m, No. 11
Total DFT energy (no corrections) (Ha/atom): -0.1578

(3)
Entry from the Alexandria database: crystalline AcGe3Au9 at its relaxed geometry (PBE).

Cell: 5.4617 7.1723 7.4185 Å, 84.03 68.40 73.60°
Last column: nearest neighbours and their distance in Å.
Atoms (fractional coordinates):
Ac (0.0000, 0.0000, 0.0000)  14 Au 3.43-3.59, 4 Ge 3.71
Ge (0.5000, 0.5000, 0.0000)  6 Au 2.65-2.73
Ge (0.0000, 0.0000, 0.5000)  2 Ge 2.73, 8 Au 2.80-2.92
Ge (0.5000, 0.0000, 0.5000)  2 Ge 2.73, 8 Au 2.80-2.92
Au (0.6840, 0.7843, 0.7842)  3 Ge 2.65-2.82
Au (0.3160, 0.2157, 0.2158)  3 Ge 2.65-2.82
Au (0.5318, 0.2157, 0.7842)  3 Ge 2.65-2.82
Au (0.4682, 0.7843, 0.2158)  3 Ge 2.65-2.82
Au (0.6882, 0.3471, 0.3599)  6 Au 2.89-3.08, 3 Ge 2.91-3.19
Au (0.3118, 0.6529, 0.6401)  6 Au 2.89-3.08, 3 Ge 2.91-3.19
Au (0.9518, 0.6529, 0.3599)  6 Au 2.89-3.08, 3 Ge 2.91-3.19
Au (0.0482, 0.3471, 0.6401)  6 Au 2.89-3.08, 3 Ge 2.91-3.19
Au (0.0000, 0.5000, 0.0000)  2 Ge 2.73, 8 Au 2.89-3.01

Properties
Symmetry: C2/m, No. 12
Total DFT energy (no corrections) (Ha/atom): -0.1406

(4)
Entry from the Alexandria database: crystalline HoTmTlIn at its relaxed geometry (PBE).

Cell: 5.3045 5.3045 5.3045 Å, 60.00 60.00 60.00°
Last column: nearest neighbours and their distance in Å.
Atoms (fractional coordinates):
Tl (0.0000, 0.0000, 0.0000)  4 Tm 3.25, 4 Ho 3.25
Tm (0.2500, 0.2500, 0.2500)  4 Tl 3.25, 4 In 3.25
Ho (0.7500, 0.7500, 0.7500)  4 Tl 3.25, 4 In 3.25
In (0.5000, 0.5000, 0.5000)  4 Ho 3.25, 4 Tm 3.25

Properties
Symmetry: F-43m, No. 216
Total DFT energy (no corrections) (Ha/atom): -0.1438

(5)
Entry from the Alexandria database: crystalline SrGeHRh2 at its relaxed geometry (PBE).

Cell: 3.9759 6.0136 7.1504 Å, 90.00 90.00 109.30°
Last column: nearest neighbours and their distance in Å.
Atoms (fractional coordinates):
Sr (0.4453, 0.8905, 0.7500)  4 H 2.74
Sr (0.5547, 0.1095, 0.2500)  4 H 2.74
Ge (0.7178, 0.4357, 0.7500)  6 Rh 2.54
Ge (0.2822, 0.5643, 0.2500)  6 Rh 2.54
H (0.0000, 0.0000, 0.0000)  2 Rh 1.86
H (0.0000, 0.0000, 0.5000)  2 Rh 1.86
Rh (0.1613, 0.3227, 0.9513)  1 H 1.86
Rh (0.8387, 0.6773, 0.0487)  1 H 1.86
Rh (0.1613, 0.3227, 0.5487)  1 H 1.86
Rh (0.8387, 0.6773, 0.4513)  1 H 1.86

Properties
Symmetry: Cmcm, No. 63
Total DFT energy (no corrections) (Ha/atom): -0.1991

(6)
Entry from the Alexandria database: crystalline CaErCdPd at its relaxed geometry (PBE).

Cell: 5.1184 5.1184 5.1184 Å, 60.00 60.00 60.00°
Last column: nearest neighbours and their distance in Å.
Atoms (fractional coordinates):
Ca (0.0000, 0.0000, 0.0000)  4 Cd 3.13, 4 Pd 3.13
Cd (0.7500, 0.7500, 0.7500)  4 Er 3.13, 4 Ca 3.13
Pd (0.2500, 0.2500, 0.2500)  4 Er 3.13, 4 Ca 3.13
Er (0.5000, 0.5000, 0.5000)  4 Pd 3.13, 4 Cd 3.13

Properties
Symmetry: F-43m, No. 216
Total DFT energy (no corrections) (Ha/atom): -0.1346

(7)
Entry from the Alexandria database: crystalline MnAl2Sb at its relaxed geometry (PBE).

Cell: 7.6574 7.6574 6.0810 Å, 50.98 50.98 90.00°
Last column: nearest neighbours and their distance in Å.
Atoms (fractional coordinates):
Sb (0.0000, 0.0000, 0.0000)  2 Mn 2.77, 4 Al 2.85
Sb (0.7500, 0.2500, 0.5000)  2 Mn 2.77, 4 Al 2.85
Mn (0.5000, 0.5000, 0.0000)  4 Al 2.74, 2 Sb 2.77
Mn (0.2500, 0.7500, 0.5000)  4 Al 2.74, 2 Sb 2.77
Al (0.6138, 0.1250, 0.2500)  2 Mn 2.74, 2 Al 2.77, 2 Sb 2.85
Al (0.1362, 0.6250, 0.2500)  2 Mn 2.74, 2 Al 2.77, 2 Sb 2.85
Al (0.3750, 0.3862, 0.7500)  2 Mn 2.74, 2 Al 2.77, 2 Sb 2.85
Al (0.8750, 0.8638, 0.7500)  2 Mn 2.74, 2 Al 2.77, 2 Sb 2.85

Properties
Symmetry: I-42d, No. 122
Formation energy without anion corrections (eV/atom): 0.32
Total DFT energy (no corrections) (Ha/atom): -0.1790

(8)
Entry from the Alexandria database: crystalline TbPm2Y6Sc3 at its relaxed geometry (PBE).

Cell: 6.1009 6.1009 11.5585 Å, 95.05 95.05 119.99°
Last column: nearest neighbours and their distance in Å.
Atoms (fractional coordinates):
Tb (0.0000, 0.0000, 0.0000)  6 Pm 3.52, 6 Y 3.60
Pm (0.3333, 0.6667, 0.0000)  3 Tb 3.52, 3 Pm 3.52, 6 Y 3.60
Pm (0.6667, 0.3333, 0.0000)  3 Tb 3.52, 3 Pm 3.52, 6 Y 3.60
Y (0.9131, 0.5801, 0.7393)  3 Sc 3.40, 6 Y 3.52, 1 Tb 3.60, 2 Pm 3.60
Y (0.7539, 0.7539, 0.2608)  3 Sc 3.40, 6 Y 3.52, 1 Tb 3.60, 2 Pm 3.60
Y (0.0869, 0.4199, 0.2607)  3 Sc 3.40, 6 Y 3.52, 1 Tb 3.60, 2 Pm 3.60
Y (0.5801, 0.9131, 0.7393)  3 Sc 3.40, 6 Y 3.52, 1 Tb 3.60, 2 Pm 3.60
Y (0.2461, 0.2461, 0.7392)  3 Sc 3.40, 6 Y 3.52, 1 Tb 3.60, 2 Pm 3.60
Y (0.4199, 0.0869, 0.2607)  3 Sc 3.40, 6 Y 3.52, 1 Tb 3.60, 2 Pm 3.60
Sc (0.1665, 0.8335, 0.5000)  6 Y 3.40, 6 Sc 3.52
Sc (0.8335, 0.1665, 0.5000)  6 Y 3.40, 6 Sc 3.52
Sc (0.5000, 0.5000, 0.5000)  6 Y 3.40, 6 Sc 3.52

Properties
Symmetry: C2/m, No. 12
Total DFT energy (no corrections) (Ha/atom): -0.2183

(9)
Entry from the Alexandria database: crystalline CsRbHg2F8 at its relaxed geometry (PBE).

Cell: 6.6384 6.6384 7.0679 Å, 118.01 118.01 90.00°
Last column: nearest neighbours and their distance in Å.
Atoms (fractional coordinates):
Cs (0.0000, 0.0000, 0.0000)  8 F 3.05-3.16
Rb (0.7500, 0.2500, 0.5000)  8 F 2.93
Hg (0.5000, 0.5000, 0.0000)  4 F 2.09
Hg (0.2500, 0.7500, 0.5000)  4 F 2.10
F (0.4382, 0.8114, 0.0061)  1 Hg 2.09
F (0.5679, 0.1947, 0.0061)  1 Hg 2.09
F (0.3578, 0.4530, 0.4993)  1 Hg 2.10
F (0.1416, 0.0463, 0.4993)  1 Hg 2.10
F (0.9537, 0.6422, 0.5007)  1 Hg 2.10
F (0.5470, 0.8584, 0.5007)  1 Hg 2.10
F (0.1886, 0.4321, 0.9939)  1 Hg 2.09
F (0.8053, 0.5618, 0.9939)  1 Hg 2.09

Properties
Symmetry: I-4, No. 82
Formation energy without anion corrections (eV/atom): -1.74
Total DFT energy (no corrections) (Ha/atom): -0.1171

(10)
Entry from the Alexandria database: crystalline Nd3As4Rh7 at its relaxed geometry (PBE).

Cell: 4.1155 8.0633 8.3898 Å, 70.97 75.80 75.21°
Last column: nearest neighbours and their distance in Å.
Atoms (fractional coordinates):
Nd (0.3299, 0.1744, 0.1658)  9 Rh 2.99-3.12, 4 As 3.05-3.07
Nd (0.6701, 0.8256, 0.8342)  9 Rh 2.99-3.12, 4 As 3.05-3.07
Nd (0.0000, 0.5000, 0.5000)  6 As 2.96-3.15
As (0.6653, 0.4427, 0.2266)  5 Rh 2.49-2.55
As (0.3347, 0.5573, 0.7734)  5 Rh 2.49-2.55
As (0.8904, 0.8888, 0.3304)  6 Rh 2.51-2.64
As (0.1096, 0.1112, 0.6696)  6 Rh 2.51-2.64
Rh (0.3029, 0.8541, 0.5400)  4 As 2.51-2.64
Rh (0.4922, 0.2367, 0.7788)  3 As 2.49-2.54
Rh (0.8333, 0.4090, 0.9245)  3 As 2.51-2.54
Rh (0.6971, 0.1459, 0.4600)  4 As 2.51-2.64
Rh (0.1667, 0.5910, 0.0755)  3 As 2.51-2.54
Rh (0.0000, 0.0000, 0.0000)  2 As 2.58
Rh (0.5078, 0.7633, 0.2212)  3 As 2.49-2.54

Properties
Symmetry: C2/m, No. 12
Total DFT energy (no corrections) (Ha/atom): -0.2534

Q: Among the records above, which one has the highest total DFT energy (no corrections)?
A: Ba2LiCdF

Q: total DFT energy (no corrections) of number 2 (AcCu2Sn)?
A: -0.1578 Ha/atom

Q: total DFT energy (no corrections) of number 9 (CsRbHg2F8)?
A: -0.1171 Ha/atom